(1)
First-principles (PBE) data for a geometry-optimized SmDyY2Er6 structure, as listed in Alexandria.

Cell and atoms, written as extended XYZ:
```
20
Lattice="4.5391 -7.4781 0.0000 4.5391 7.4781 0.0000 -1.0561 0.0000 9.3747" Properties=species:S:1:pos:R:3 pbc="T T T"
Sm 3.7470 7.0651 7.0310
Sm 4.2751 -7.0651 2.3437
Dy 4.2751 1.3499 2.3437
Dy 3.7470 -1.3499 7.0310
Y 1.6978 0.7788 5.1269
Y 2.2258 -0.7788 0.4396
Y 5.7962 0.7788 8.9350
Y 6.3243 -0.7788 4.2477
Er 1.9339 4.0997 6.4100
Er 3.9147 4.7010 0.5445
Er 4.6354 4.7010 4.1428
Er 2.7123 1.6541 8.2774
Er 5.5602 4.0997 7.6520
Er 4.7817 1.6541 5.7846
Er 3.2404 -1.6541 3.5900
Er 2.4619 -4.0997 1.7227
Er 5.3097 -1.6541 1.0973
Er 3.3867 -4.7010 5.2319
Er 4.1073 -4.7010 8.8301
Er 6.0882 -4.0997 2.9647
```

## Properties
E_form: 127 meV/atom
Crystal system: monoclinic
Spin magnetization: 0.0 μB/cell
Theoretical density: 7.8 g/cm3



(2)
First-principles (PBE) data for a geometry-optimized RbScNbPt structure, as listed in Alexandria.

Cell and atoms, written as extended XYZ:
```
8
Lattice="7.3601 0.0000 0.0000 0.0000 4.2499 0.0000 -2.4708 0.0000 8.3698" Properties=species:S:1:pos:R:3 pbc="T T T"
Rb 0.0000 0.0000 0.0000
Rb 3.6801 2.1250 0.0000
Sc 1.2029 2.1250 3.5510
Sc 4.8830 0.0000 3.5510
Nb -0.0241 0.0000 5.5129
Nb 3.6559 2.1250 5.5129
Pt -1.2504 2.1250 4.7155
Pt 2.4297 0.0000 4.7155
```

## Properties
Energy relative to the lowest polymorph listed for this composition: 6 meV/atom
E_form: 118 meV/atom
Crystal system: monoclinic
Spin magnetization: 0.4 μB/cell
Theoretical density: 5.3 g/cm3



(3)
First-principles (PBE) data for a geometry-optimized Tm3Al11 structure, as listed in Alexandria.

Cell and atoms, written as extended XYZ:
```
14
Lattice="-2.1316 4.9520 6.3640 2.1316 -4.9520 6.3640 2.1316 4.9520 -6.3640" Properties=species:S:1:pos:R:3 pbc="T T T"
Tm 0.0000 0.0000 0.0000
Tm 0.0000 0.0000 3.9749
Tm 0.0000 0.0000 8.7531
Al 2.1316 -1.2756 2.0535
Al 2.1316 -2.1891 4.5935
Al 2.1316 1.2756 2.0535
Al 2.1316 2.9338 0.0000
Al 0.0000 2.7629 1.7705
Al 0.0000 4.9520 0.0000
Al 2.1316 2.1891 4.5935
Al 0.0000 2.0181 6.3640
Al 0.0000 3.6764 4.3105
Al 0.0000 7.1411 1.7705
Al 0.0000 6.2276 4.3105
```

## Properties
E_form: -299 meV/atom
Crystal system: orthorhombic
Spin magnetization: 0.0 μB/cell
Theoretical density: 5.0 g/cm3



(4)
First-principles (PBE) data for a geometry-optimized Li2ZrSnRu structure, as listed in Alexandria.

Cell and atoms, written as extended XYZ:
```
5
Lattice="5.5296 0.0000 0.0000 0.0000 5.5296 0.0000 0.0000 0.0000 4.6754" Properties=species:S:1:pos:R:3 pbc="T T T"
Li 0.0000 2.7648 0.0000
Li 2.7648 0.0000 0.0000
Zr 0.0000 0.0000 0.0000
Sn 2.7648 2.7648 2.3377
Ru 0.0000 0.0000 2.3377
```

## Properties
Energy relative to the lowest polymorph listed for this composition: 0 meV/atom
E_form: 964 meV/atom
Crystal system: tetragonal
Spin magnetization: 0.0 μB/cell
Theoretical density: 3.8 g/cm3



(5)
First-principles (PBE) data for a geometry-optimized Nd4TmPb2 structure, as listed in Alexandria.

Cell and atoms, written as extended XYZ:
```
7
Lattice="2.7759 1.6027 9.3459 -2.7759 1.6027 9.3459 0.0000 -3.2054 9.3459" Properties=species:S:1:pos:R:3 pbc="T T T"
Nd 0.0000 0.0000 3.5689
Nd 0.0000 0.0000 7.7670
Nd 0.0000 0.0000 20.2706
Nd 0.0000 0.0000 24.4687
Tm 0.0000 0.0000 14.0188
Pb 0.0000 0.0000 10.9841
Pb 0.0000 0.0000 17.0536
```

## Properties
E_form: -153 meV/atom
Crystal system: trigonal
Spin magnetization: 0.0 μB/cell
Theoretical density: 7.7 g/cm3